Record 1
The following is a DFT calculation (PBE) of a relaxed structure of Ho3ErSc8.

energy = -5.4497 eV/atom
symmetry = Immm, No. 71
volume = 342.1 Å³/cell

Structure (extended XYZ):
```
12
Lattice="-4.749 5.973 -2.896 -0.502 -8.064 1.154 -0.227 2.450 7.782" Properties=species:S:1:pos:R:3 pbc="T T T"
Ho -2.807 -2.447 1.358
Ho -2.671 2.805 4.681
Ho -0.364 -2.807 4.468
Er 0.000 0.000 0.000
Sc -2.556 1.579 0.783
Sc -2.922 -1.220 5.256
Sc -5.179 0.534 -0.087
Sc -0.299 -0.176 6.127
Sc -1.054 0.074 3.089
Sc -4.060 3.093 -1.520
Sc -1.420 -2.736 7.559
Sc -4.423 0.285 2.951
```

***

Record 2
The following is a DFT calculation (PBE) of a relaxed structure of Nd5Hf.

energy = -5.5069 eV/atom
symmetry = Cmmm, No. 65
volume = 194.5 Å³/cell

Structure (extended XYZ):
```
6
Lattice="-4.180 1.053 2.596 -0.371 -4.825 1.360 4.430 3.848 5.571" Properties=species:S:1:pos:R:3 pbc="T T T"
Nd 1.160 -1.958 2.661
Nd 2.899 0.980 4.270
Nd -2.275 -1.886 1.978
Nd -0.734 0.985 3.295
Nd 0.613 -0.910 6.232
Hf 0.000 0.000 0.000
```